First-principles (GGA-PBE) data for crystalline SiPtS3 at its relaxed geometry, as listed in Alexandria via LeMat-Bulk.

Cell and atoms, written as POSCAR:
```
SiPtS3
1.0
4.429 0.000 0.000
0.000 4.429 0.000
0.000 0.000 4.429
S Pt Si
3 1 1
direct
0.500 0.000 0.000
0.000 0.000 0.500
0.000 0.500 0.000
0.500 0.500 0.500
0.000 0.000 0.000
```

Calculated volume in Å³ per atom: 17.37
Energy relative to the lowest polymorph listed for this composition in meV per atom: 0
Space-group type: Pm-3m

First-principles (GGA-PBE) data for crystalline SiSnPt2S at its relaxed geometry, as listed in Alexandria via LeMat-Bulk.

Cell and atoms, written as POSCAR:
```
SiSnPt2S
1.0
4.607 0.000 0.000
0.000 4.807 0.000
0.000 0.000 4.607
Si S Pt Sn
1 1 2 1
direct
0.000 0.000 0.000
0.000 0.500 0.000
0.000 0.000 0.500
0.500 0.000 0.000
0.500 0.500 0.500
```

Calculated volume in Å³ per atom: 20.41
E in eV per atom: -4.99
Space-group type: P4/mmm

First-principles (GGA-PBE) data for crystalline SrSiPtS2 at its relaxed geometry, as listed in Alexandria via LeMat-Bulk.

Cell and atoms, written as POSCAR:
```
SrSiPtS2
1.0
-4.221 1.067 2.029
-2.176 -1.263 -3.863
-0.339 -4.495 1.660
S Sr Pt Si
2 1 1 1
direct
0.500 0.000 0.000
0.000 0.000 0.500
0.500 0.500 0.500
0.000 0.500 0.000
0.000 0.000 0.000
```

Calculated volume in Å³ per atom: 21.27
E in eV per atom: -4.91
Space-group type: P4/mmm

First-principles (GGA-PBE) data for crystalline TiSiPtS2 at its relaxed geometry, as listed in Alexandria via LeMat-Bulk.

Cell and atoms, written as POSCAR:
```
TiSiPtS2
1.0
4.584 0.000 0.000
0.000 4.911 0.000
0.000 0.000 4.584
Si S Ti Pt
1 2 1 1
direct
0.500 0.500 0.500
0.000 0.000 0.500
0.500 0.000 0.000
0.000 0.000 0.000
0.000 0.500 0.000
```

Calculated volume in Å³ per atom: 20.64
E in eV per atom: -5.39
Space-group type: P4/mmm

Please write out number 1 again, unchanged.
First-principles (GGA-PBE) data for crystalline SiPtS3 at its relaxed geometry, as listed in Alexandria via LeMat-Bulk.

Cell and atoms, written as POSCAR:
```
SiPtS3
1.0
4.429 0.000 0.000
0.000 4.429 0.000
0.000 0.000 4.429
S Pt Si
3 1 1
direct
0.500 0.000 0.000
0.000 0.000 0.500
0.000 0.500 0.000
0.500 0.500 0.500
0.000 0.000 0.000
```

Calculated volume in Å³ per atom: 17.37
Energy relative to the lowest polymorph listed for this composition in meV per atom: 0
Space-group type: Pm-3m

Question: Which value of calculated volume does entry 4 give?
Answer: 20.64 Å³ per atom